An optimized crystal structure of Ag2PSe. Source: the Alexandria database, functional GGA-PBE.

Unit cell a=6.6733 b=6.6733 c=6.6733 alpha=90.00 beta=90.00 gamma=90.00
With the nearest neighbours (Å) after each atom.
Space group Fm-3m (No. 225)
One atom of each set of equivalent atoms:
1 Ag 0.2500 0.2500 0.2500 x8  4 Se 2.89, 4 P 2.89
2 P 0.0000 0.0000 0.0000 x4  8 Ag 2.89
3 Se 0.0000 0.0000 0.5000 x4  8 Ag 2.89

Uncorrected formation energy ... 0.43 eV per atom
Total DFT energy (no corrections) ... -3.22 eV/atom



An optimized crystal structure of Ag2PSe. Source: the Alexandria database, functional GGA-PBE.

Unit cell a=2.8263 b=4.0569 c=6.9301 alpha=90.00 beta=90.00 gamma=90.00
With the nearest neighbours (Å) after each atom.
Space group Pmm2 (No. 25)
One atom of each set of equivalent atoms:
1 Ag 0.0000 0.0000 0.0000 x1  1 P 2.75, 6 Ag 2.83-3.08, 4 Se 2.87
2 Ag 0.5000 0.5000 0.2647 x1  4 P 2.64, 2 Ag 2.83
3 P 0.0000 0.0000 0.3969 x1  5 Ag 2.64-2.75, 2 P 2.83
4 Se 0.5000 0.5000 0.7895 x1  2 Se 2.83, 4 Ag 2.87

Uncorrected formation energy ... 0.28 eV per atom
Total DFT energy (no corrections) ... -3.37 eV/atom



An optimized crystal structure of Ag2PSe. Source: the Alexandria database, functional GGA-PBE.

Unit cell a=4.0219 b=3.6194 c=5.3746 alpha=90.00 beta=96.69 gamma=90.00
With the nearest neighbours (Å) after each atom.
Space group P2/m (No. 10)
One atom of each set of equivalent atoms:
1 Ag 0.0000 0.0000 0.0000 x1  2 P 2.69, 4 Se 2.71
2 Ag 0.5000 0.5000 0.5000 x1  2 Se 2.69, 4 P 2.71
3 P 0.0000 0.0000 0.5000 x1  6 Ag 2.69-2.71
4 Se 0.5000 0.5000 0.0000 x1  6 Ag 2.69-2.71

Uncorrected formation energy ... 0.28 eV per atom
Total DFT energy (no corrections) ... -3.37 eV/atom



An optimized crystal structure of Ag5PSe3. Source: the Alexandria database, functional GGA-PBE.

Unit cell a=5.6125 b=5.6125 c=11.4290 alpha=90.00 beta=90.00 gamma=90.00
With the nearest neighbours (Å) after each atom.
Space group P4/nbm (No. 125, origin choice 2)
One atom of each set of equivalent atoms:
1 Ag 0.0644 0.5644 0.2099 x8  3 Se 2.76-2.82, 5 Ag 2.90-2.95
2 Ag 0.2500 0.2500 0.0000 x2  4 Se 2.81
3 P 0.2500 0.7500 0.5000 x2  8 Se 3.16
4 Se 0.2500 0.2500 0.3720 x4  4 Ag 2.76, 1 Se 2.93
5 Se 0.2500 0.7500 0.0000 x2  8 Ag 2.81-2.82

Uncorrected formation energy ... 0.29 eV per atom
Total DFT energy (no corrections) ... -3.06 eV/atom



An optimized crystal structure of TaAg2PSe. Source: the Alexandria database, functional GGA-PBE.

Unit cell a=5.3227 b=5.3227 c=4.6494 alpha=90.00 beta=90.00 gamma=90.00
With the nearest neighbours (Å) after each atom.
Space group P4/mmm (No. 123)
One atom of each set of equivalent atoms:
1 Ta 0.0000 0.0000 0.0000 x1  2 P 2.32
2 Ag 0.0000 0.5000 0.0000 x2  2 Ta 2.66
3 P 0.0000 0.0000 0.5000 x1  2 Ta 2.32
4 Se 0.5000 0.5000 0.5000 x1  8 Ag 3.53, 4 P 3.76

Uncorrected formation energy ... 1.10 eV per atom
Total DFT energy (no corrections) ... -4.19 eV/atom



An optimized crystal structure of Ag2TePSe4. Source: the Alexandria database, functional GGA-PBE.

Unit cell a=5.1988 b=6.4380 c=7.2408 alpha=74.60 beta=69.54 gamma=83.13
With the nearest neighbours (Å) after each atom.
Space group P1 (No. 1)
One atom of each set of equivalent atoms:
1 Ag 0.0000 0.0000 0.0000 x1  4 Se 2.62-2.74
2 Ag 0.2146 0.6453 0.5032 x1  3 Se 2.64-2.65
3 Te 0.5861 0.4560 0.0563 x1  2 Se 2.54-2.82
4 P 0.7184 0.1534 0.5406 x1  3 Se 2.29-2.34
5 Se 0.0932 0.5924 0.1939 x1  1 Te 2.54, 2 Ag 2.64-2.70
6 Se 0.3434 0.2991 0.7497 x1  1 P 2.29
7 Se 0.5505 0.0427 0.3221 x1  1 P 2.34
8 Se 0.8228 0.8448 0.7489 x1  1 P 2.29

Uncorrected formation energy ... 0.01 eV per atom
Total DFT energy (no corrections) ... -3.51 eV/atom



An optimized crystal structure of Th6AgP2Se3. Source: the Alexandria database, functional GGA-PBE.

Unit cell a=18.3811 b=4.1627 c=8.5297 alpha=90.00 beta=102.96 gamma=90.00
With the nearest neighbours (Å) after each atom.
Space group C2/m (No. 12)
One atom of each set of equivalent atoms:
1 Th 0.0076 0.0000 0.2571 x4  1 P 2.90, 3 Se 2.96-3.05, 2 Ag 3.00
2 Th 0.1700 0.5000 0.1005 x4  2 P 2.89, 3 Se 3.00-3.07, 1 Ag 3.05
3 Th 0.1695 0.5000 0.5723 x4  3 P 2.89-2.90, 3 Se 3.04-3.07
4 Ag 0.0000 0.5000 0.0000 x2  6 Th 3.00-3.05
5 P 0.1694 0.0000 0.3357 x4  6 Th 2.89-2.90
6 Se 0.0000 0.5000 0.5000 x2  6 Th 2.96-3.04
7 Se 0.1629 0.0000 0.8334 x4  6 Th 3.00-3.07

Uncorrected formation energy ... -1.28 eV per atom
Total DFT energy (no corrections) ... -7.00 eV/atom



An optimized crystal structure of TiAgPSe2. Source: the Alexandria database, functional GGA-PBE.

Unit cell a=4.9538 b=4.9538 c=4.7352 alpha=90.00 beta=90.00 gamma=90.00
With the nearest neighbours (Å) after each atom.
Space group P4/mmm (No. 123)
One atom of each set of equivalent atoms:
1 Ti 0.0000 0.0000 0.0000 x1  2 P 2.37, 4 Se 2.48
2 Ag 0.5000 0.5000 0.5000 x1  8 Se 3.43, 4 P 3.50
3 P 0.0000 0.0000 0.5000 x1  2 Ti 2.37
4 Se 0.0000 0.5000 0.0000 x2  2 Ti 2.48

Uncorrected formation energy ... 0.01 eV per atom
Total DFT energy (no corrections) ... -4.62 eV/atom



An optimized crystal structure of TlAg2PSe4. Source: the Alexandria database, functional GGA-PBE.

Unit cell a=6.9531 b=7.2652 c=8.4831 alpha=90.00 beta=90.00 gamma=90.00
With the nearest neighbours (Å) after each atom.
Space group I222 (No. 23)
One atom of each set of equivalent atoms:
1 Tl 0.0000 0.0000 0.0000 x2  8 Se 3.40-3.52
2 Ag 0.0000 0.5000 0.1885 x4  2 Se 2.60
3 P 0.0000 0.0000 0.5000 x2  4 Se 2.25
4 Se 0.1847 0.1862 0.3517 x8  1 P 2.25

Uncorrected formation energy ... -0.18 eV per atom
Total DFT energy (no corrections) ... -3.61 eV/atom



An optimized crystal structure of Tl2AgPSe4. Source: the Alexandria database, functional GGA-PBE.

Unit cell a=7.7008 b=7.7008 c=7.9765 alpha=90.00 beta=90.00 gamma=90.00
With the nearest neighbours (Å) after each atom.
Space group I-4 (No. 82)
One atom of each set of equivalent atoms:
1 Tl 0.0000 0.0000 0.0000 x2  8 Se 3.37-3.78
2 Tl 0.0000 0.5000 0.2500 x2  4 Se 3.25
3 Ag 0.0000 0.5000 0.7500 x2  4 Se 2.67
4 P 0.0000 0.0000 0.5000 x2  4 Se 2.25
5 Se 0.1437 0.2014 0.6508 x8  1 P 2.25

Uncorrected formation energy ... -0.24 eV per atom
Total DFT energy (no corrections) ... -3.61 eV/atom



An optimized crystal structure of TlAgPSe4. Source: the Alexandria database, functional GGA-PBE.

Unit cell a=6.8398 b=6.6468 c=9.5367 alpha=90.00 beta=104.49 gamma=90.00
With the nearest neighbours (Å) after each atom.
Space group P2_1/m (No. 11)
One atom of each set of equivalent atoms:
1 Tl 0.1926 0.2500 0.0268 x2  8 Se 3.46-3.69, 1 P 3.62
2 Ag 0.1658 0.2500 0.5583 x2  3 Se 2.59-2.70
3 P 0.2330 0.7500 0.2879 x2  4 Se 2.18-2.26
4 Se 0.0174 0.0052 0.2952 x4  1 P 2.26
5 Se 0.3306 0.7500 0.0875 x2  1 P 2.18
6 Se 0.4811 0.7500 0.4943 x2  1 P 2.25

Uncorrected formation energy ... -0.11 eV per atom
Total DFT energy (no corrections) ... -3.62 eV/atom



An optimized crystal structure of TlAgPSe2. Source: the Alexandria database, functional GGA-PBE.

Unit cell a=5.4170 b=5.4170 c=5.3764 alpha=90.00 beta=90.00 gamma=90.00
With the nearest neighbours (Å) after each atom.
Space group P4/mmm (No. 123)
One atom of each set of equivalent atoms:
1 Tl 0.0000 0.0000 0.0000 x1  2 Ag 2.69, 4 Se 2.71
2 Ag 0.0000 0.0000 0.5000 x1  2 Tl 2.69
3 P 0.5000 0.5000 0.5000 x1  8 Se 3.82, 4 Ag 3.83
4 Se 0.0000 0.5000 0.0000 x2  2 Tl 2.71

Uncorrected formation energy ... 1.14 eV per atom
Total DFT energy (no corrections) ... -2.38 eV/atom